1.
The following is a DFT calculation (PBE) of KBe2Sn after structural relaxation.

- Energy of formation: 0.524 eV per atom
- Space group: I4_1/amd (141)
- Mass density: 2789 kg/m³
- V: 26.2 Å³/atom
- Spin magnetization: 0.00 μB per cell
- DOS at the Fermi energy: 0.567 states/eV per atom

Cell: 5.0879 5.0879 8.8528 Å, 73.30 73.30 90.00°
Atoms (fractional coordinates):
Be (0.8752, 0.1250, 0.2500)
Be (0.8748, 0.6250, 0.2500)
Be (0.3750, 0.1248, 0.7500)
Be (0.8750, 0.1252, 0.7500)
K (0.5000, 0.5000, 0.0000)
K (0.2500, 0.7500, 0.5000)
Sn (0.0000, 0.0000, 0.0000)
Sn (0.7500, 0.2500, 0.5000)



2.
The following is a DFT calculation (PBE) of KBe3Sn after structural relaxation.

- Energy of formation: 2.148 eV per atom
- Space group: Pm-3m (221)
- Mass density: 2328 kg/m³
- V: 26.4 Å³/atom
- Energy above the lowest structure with this stoichiometry: 104.8 kJ per mole of atoms
- Spin magnetization: 0.00 μB per cell
- DOS at the Fermi energy: 0.517 states/eV per atom

Cell: 5.0897 5.0897 5.0897 Å, 90.00 90.00 90.00°
Atoms (fractional coordinates):
Be (0.0000, 0.5000, 0.0000)
Be (0.0000, 0.0000, 0.5000)
Be (0.5000, 0.0000, 0.0000)
K (0.0000, 0.0000, 0.0000)
Sn (0.5000, 0.5000, 0.5000)



3.
The following is a DFT calculation (PBE) of KBe3Sn after structural relaxation.

- Energy of formation: 1.061 eV per atom
- Space group: Pm-3m (221)
- Mass density: 2604 kg/m³
- V: 23.6 Å³/atom
- Energy above the lowest structure with this stoichiometry: 0.0 kJ per mole of atoms
- Spin magnetization: 0.00 μB per cell
- DOS at the Fermi energy: 0.834 states/eV per atom

Cell: 4.9032 4.9032 4.9032 Å, 90.00 90.00 90.00°
Atoms (fractional coordinates):
Be (0.0000, 0.5000, 0.0000)
Be (0.0000, 0.0000, 0.5000)
Be (0.5000, 0.0000, 0.0000)
K (0.5000, 0.5000, 0.5000)
Sn (0.0000, 0.0000, 0.0000)



4.
The following is a DFT calculation (PBE) of KYBe2Sn after structural relaxation.

- Energy of formation: 0.804 eV per atom
- Space group: P4/mmm (123)
- Mass density: 3213 kg/m³
- V: 27.4 Å³/atom
- Spin magnetization: 0.00 μB per cell
- DOS at the Fermi energy: 0.492 states/eV per atom

Cell: 4.8695 5.7702 4.8695 Å, 90.00 90.00 90.00°
Atoms (fractional coordinates):
Y (0.0000, 0.5000, 0.0000)
Be (0.0000, 0.0000, 0.5000)
Be (0.5000, 0.0000, 0.0000)
K (0.5000, 0.5000, 0.5000)
Sn (0.0000, 0.0000, 0.0000)



5.
The following is a DFT calculation (PBE) of KSrBe after structural relaxation.

- Energy of formation: 0.698 eV per atom
- Space group: F-43m (216)
- Mass density: 1844 kg/m³
- V: 40.7 Å³/atom
- Energy above the lowest structure with this stoichiometry: 11.4 kJ per mole of atoms
- Spin magnetization: 0.01 μB per cell
- DOS at the Fermi energy: 1.058 states/eV per atom

Cell: 5.5704 5.5704 5.5704 Å, 60.00 60.00 60.00°
Atoms (fractional coordinates):
Sr (0.5000, 0.5000, 0.5000)
K (0.0000, 0.0000, 0.0000)
Be (0.7500, 0.7500, 0.7500)



6.
The following is a DFT calculation (PBE) of KSr3Be after structural relaxation.

- Energy of formation: 1.297 eV per atom
- Space group: Pm-3m (221)
- Mass density: 1462 kg/m³
- V: 70.7 Å³/atom
- Energy above the lowest structure with this stoichiometry: 98.3 kJ per mole of atoms
- Spin magnetization: 0.00 μB per cell
- DOS at the Fermi energy: 1.835 states/eV per atom

Cell: 7.0695 7.0695 7.0695 Å, 90.00 90.00 90.00°
Atoms (fractional coordinates):
Sr (0.0000, 0.5000, 0.0000)
Sr (0.0000, 0.0000, 0.5000)
Sr (0.5000, 0.0000, 0.0000)
K (0.0000, 0.0000, 0.0000)
Be (0.5000, 0.5000, 0.5000)



Question: Which of these has the highest spin magnetization?
Answer: KSrBe



Question: Which of these has the lowest V?
Answer: number 3



Question: The lowest DOS at the Fermi energy belongs to which entry?
Answer: KYBe2Sn